## i
Material: Tb8Sm6Er
Method: DFT, GGA-PBE
State: relaxed

Output
Volume ... 33.1 A^3/atom
D(E_F) ... 21.5 states/eV/f.u.
SG ... R-3 (148)

abc: 8.687 8.687 8.687
angles: 63.27 63.27 63.27
Atoms (fractional coordinates):
Tb1 0.077 0.077 0.077
Tb2 0.221 0.246 0.611
Tb3 0.246 0.611 0.221
Tb4 0.389 0.779 0.754
Tb5 0.611 0.221 0.246
Tb6 0.754 0.389 0.779
Tb7 0.779 0.754 0.389
Tb8 0.923 0.923 0.923
Sm1 0.039 0.730 0.605
Sm2 0.270 0.395 0.961
Sm3 0.395 0.961 0.270
Sm4 0.605 0.039 0.730
Sm5 0.730 0.605 0.039
Sm6 0.961 0.270 0.395
Er1 0.500 0.500 0.500



## ii
Material: Tb8Sm6Er
Method: DFT, GGA-PBE
State: relaxed

Output
Volume ... 33.9 A^3/atom
D(E_F) ... 22.8 states/eV/f.u.
SG ... P-3 (147)

abc: 9.450 9.450 6.576
angles: 90.00 90.00 120.00
Atoms (fractional coordinates):
Tb1 0.016 0.322 0.390
Tb2 0.306 0.984 0.390
Tb3 0.322 0.306 0.610
Tb4 0.333 0.667 0.653
Tb5 0.667 0.333 0.347
Tb6 0.678 0.694 0.390
Tb7 0.694 0.016 0.610
Tb8 0.984 0.678 0.610
Sm1 0.083 0.677 0.102
Sm2 0.323 0.406 0.102
Sm3 0.406 0.083 0.898
Sm4 0.594 0.917 0.102
Sm5 0.677 0.594 0.898
Sm6 0.917 0.323 0.898
Er1 0.000 0.000 0.000



Most stable: i. Least stable: ii.